Here is a geometry-optimized KUSnSe3 structure from the Alexandria database. Energies are from PBE-GGA.

Unit cell a=9.172 b=4.085 c=9.824 alpha=90.00 beta=112.66 gamma=90.00
Positions (direct):
1 K 0.029 0.250 0.291
2 K 0.971 0.750 0.709
3 U 0.474 0.750 0.693
4 U 0.526 0.250 0.307
5 Sn 0.371 0.750 0.996
6 Sn 0.629 0.250 0.004
7 Se 0.201 0.250 0.038
8 Se 0.250 0.250 0.655
9 Se 0.345 0.750 0.374
10 Se 0.655 0.250 0.626
11 Se 0.750 0.750 0.345
12 Se 0.799 0.750 0.962

Output
For the uncorrected formation energy, the calculation gives -0.922 eV/atom. Its density of states at the Fermi level is 12.75 states/eV/cell. The calculation puts the raw total energy at -5.395 eV/atom. Its magnetic moment is 0.280 μB per atom.